# SrZnRh3 (PBE, relaxed)
data_SrZnRh3
_cell_length_a 4.9532
_cell_length_b 4.9532
_cell_length_c 4.9532
_cell_angle_alpha 90.00
_cell_angle_beta 90.00
_cell_angle_gamma 90.00
_space_group_name_H-M_alt 'P m -3 m'
_space_group_IT_number 221
_space_group_name_Hall '-P 4 2 3'
loop_
_atom_site_label
_atom_site_fract_x
_atom_site_fract_y
_atom_site_fract_z
Sr1 0.0000 0.0000 0.0000
Zn1 0.5000 0.5000 0.5000
Rh1 0.0000 0.0000 0.5000
# ΔH_f (0 K)   8.68 eV per formula unit
# Spin magnetization   1.384 μB per formula unit
# DOS(E_F)   5.805 states/eV per cell
# Distance to the lowest polymorph of the same formula   1391 meV per atom

# Ho6Al43Cr4 (PBE, relaxed)
data_Ho6Al43Cr4
_cell_length_a 10.9003
_cell_length_b 10.9003
_cell_length_c 17.5481
_cell_angle_alpha 90.00
_cell_angle_beta 90.00
_cell_angle_gamma 120.00
_space_group_name_H-M_alt 'P 63/m c m'
_space_group_IT_number 193
_space_group_name_Hall '-P 6c 2'
loop_
_atom_site_label
_atom_site_fract_x
_atom_site_fract_y
_atom_site_fract_z
Ho1 0.0000 0.4699 0.0952
Al1 0.0000 0.1454 0.7500
Al2 0.0000 0.1555 0.1158
Al3 0.0000 0.2502 0.5302
Al4 0.1441 0.5466 0.2500
Al5 0.1583 0.3911 0.6654
Al6 0.2463 0.4927 0.0000
Al7 0.3333 0.6667 0.1268
Cr1 0.0000 0.0000 0.0000
Cr2 0.0000 0.2677 0.2500
# ΔH_f (0 K)   -14.42 eV per formula unit
# Spin magnetization   1.137 μB per formula unit
# DOS(E_F)   45.049 states/eV per cell

# PrTm4Tl4 (PBE, relaxed)
data_PrTm4Tl4
_cell_length_a 7.3313
_cell_length_b 7.3313
_cell_length_c 10.3452
_cell_angle_alpha 90.00
_cell_angle_beta 90.00
_cell_angle_gamma 90.00
_space_group_name_H-M_alt 'P 42/n m c'
_space_group_IT_number 137
loop_
_space_group_symop_operation_xyz
'x,y,z'
'-x,-y,-z'
'-y+1/2,x,z+1/2'
'y+1/2,-x,-z+1/2'
'-x+1/2,-y+1/2,z'
'x+1/2,y+1/2,-z'
'y,-x+1/2,z+1/2'
'-y,x+1/2,-z+1/2'
'x+1/2,-y,-z'
'-x+1/2,y,z'
'-y,-x,-z+1/2'
'y,x,z+1/2'
'-x,y+1/2,-z'
'x,-y+1/2,z'
'y+1/2,x+1/2,-z+1/2'
'-y+1/2,-x+1/2,z+1/2'
loop_
_atom_site_label
_atom_site_fract_x
_atom_site_fract_y
_atom_site_fract_z
Pr1 0.2500 0.7500 0.2500
Tm1 0.0163 0.2500 0.1584
Tl1 0.0333 0.2500 0.4583
# ΔH_f (0 K)   -0.93 eV per formula unit
# Spin magnetization   0.000 μB per formula unit
# DOS(E_F)   15.463 states/eV per cell

# Nd4ThH10 (PBE, relaxed)
data_Nd4ThH10
_cell_length_a 3.8617
_cell_length_b 3.8617
_cell_length_c 47.4923
_cell_angle_alpha 90.00
_cell_angle_beta 90.00
_cell_angle_gamma 120.00
_space_group_name_H-M_alt 'R -3 m'
_space_group_IT_number 166
_space_group_name_Hall '-R 3 2"'
loop_
_atom_site_label
_atom_site_fract_x
_atom_site_fract_y
_atom_site_fract_z
Nd1 0.0000 0.0000 0.0995
Nd2 0.0000 0.0000 0.3000
Th1 0.0000 0.0000 0.5000
H1 0.0000 0.0000 0.0501
H2 0.0000 0.0000 0.1503
H3 0.0000 0.0000 0.2502
H4 0.0000 0.0000 0.3499
H5 0.0000 0.0000 0.4505
# Spin magnetization   0.000 μB per formula unit
# DOS(E_F)   9.550 states/eV per cell
# Electronic total energy   -4.627 eV/atom

> Which value of spin magnetization does entry 2 give?

1.137 μB per formula unit